Density functional theory data (PBE) for a geometry-optimized Ta2ReTe structure.

Its energy is -37.66 eV per cell. The value obtained for the calculated volume is 19.4 A^3/atom. The space group is Cmm2, No. 35. Its energy relative to the elements, uncorrected is 0.409 eV/atom. The density of states at the Fermi level comes out at 3.32 states/eV per cell. Its crystal system is orthorhombic.

abc: 2.969 2.969 9.517
angles: 90.00 90.00 112.37
Sites, in units of the cell vectors:
Ta1 0.000 0.000 0.000
Ta2 0.500 0.500 0.246
Re1 0.500 0.500 0.791
Te1 0.000 0.000 0.493